[1]
DFT (GGA-PBE) results for crystalline NpSc5Bi6 at its relaxed geometry.

* crystal system: monoclinic
* E_tot: -74.127 eV for the cell shown
* symmetry: C2/m (12)

a b c (Å): 7.4694 7.4694 7.4701
angles (deg): 99.64 99.64 119.99
Element x y z (fractional)
Np 0.0000 0.0000 0.0000
Sc 0.1615 0.8385 0.5000
Sc 0.3316 0.6684 0.0000
Sc 0.5000 0.5000 0.5000
Sc 0.6684 0.3316 0.0000
Sc 0.8385 0.1615 0.5000
Bi 0.0864 0.4293 0.2580
Bi 0.2601 0.2601 0.7481
Bi 0.4293 0.0864 0.2580
Bi 0.5707 0.9136 0.7420
Bi 0.7399 0.7399 0.2519
Bi 0.9136 0.5707 0.7420


[2]
DFT (GGA-PBE) results for crystalline CrOs2W at its relaxed geometry.

* crystal system: tetragonal
* offset from the most stable computed form: 35 meV per atom
* symmetry: I-4m2 (119)

a b c (Å): 4.7474 4.7474 4.7474
angles (deg): 132.43 132.43 69.54
Element x y z (fractional)
Cr 0.0000 0.0000 0.0000
Os 0.2500 0.7500 0.5000
Os 0.5000 0.5000 0.0000
W 0.7500 0.2500 0.5000